(1)
Below is a relaxed structure of Zr2In2Rh, with properties calculated at the PBE level.

- formation energy (eV/atom) = -0.2481

a = 7.0173 Å, b = 7.0173 Å, c = 4.3031 Å
α = 90.00°, β = 90.00°, γ = 90.00°
Closest atoms and distances in Å follow each position.
Space group P4/mbm (No. 127)
One atom of each set of equivalent atoms:
Zr (0.1671, 0.3329, 0.0000)  6 In 2.87-3.06
In (0.1413, 0.6413, 0.5000)  2 Rh 2.71, 1 In 2.80, 2 Zr 2.87
Rh (0.0000, 0.0000, 0.5000)  4 In 2.71


(2)
Below is a relaxed structure of NaBeSi3HO8, with properties calculated at the PBE level.

- energy (eV per atom) = -7.127

a = 7.3760 Å, b = 7.4079 Å, c = 14.1170 Å
α = 78.10°, β = 78.09°, γ = 60.64°
Closest atoms and distances in Å follow each position.
Space group P-1 (No. 2)
One atom of each set of equivalent atoms:
Na (0.1270, 0.3288, 0.4221)  5 O 2.46-2.64
Na (0.1903, 0.3691, 0.0708)  6 O 2.42-2.69
Be (0.0099, 0.1527, 0.9974)  4 O 1.59-1.69
Be (0.3460, 0.4903, 0.5035)  4 O 1.59-1.69
Si (0.1440, 0.8486, 0.3675)  4 O 1.61-1.65
Si (0.2747, 0.8153, 0.1427)  4 O 1.62-1.64
Si (0.3170, 0.7791, 0.6396)  4 O 1.62-1.65
Si (0.3503, 0.6468, 0.8660)  4 O 1.61-1.65
Si (0.3786, 0.0617, 0.8618)  4 O 1.60-1.65
Si (0.4380, 0.1226, 0.6379)  4 O 1.60-1.66
H (0.0540, 0.4260, 0.7538)  1 O 0.99
H (0.0589, 0.6288, 0.7553)  1 O 0.99
O (0.0402, 0.4230, 0.2467)  2 H 0.99
O (0.0824, 0.9444, 0.6123)  2 Si 1.63-1.64
O (0.0964, 0.9225, 0.0699)  1 Si 1.62, 2 Be 1.67-1.69
O (0.1543, 0.6527, 0.4452)  1 Be 1.59, 1 Si 1.61
O (0.1543, 0.6562, 0.9440)  1 Be 1.59, 1 Si 1.61
O (0.1704, 0.7998, 0.2559)  2 Si 1.63-1.64
O (0.1935, 0.1995, 0.9384)  1 Be 1.59, 1 Si 1.60
O (0.2905, 0.6824, 0.7547)  2 Si 1.65
O (0.2978, 0.3085, 0.5624)  1 Be 1.59, 1 Si 1.60
O (0.3168, 0.9241, 0.3743)  2 Si 1.64-1.65
O (0.3239, 0.1717, 0.7500)  2 Si 1.65
O (0.3921, 0.9610, 0.1279)  2 Si 1.64-1.65
O (0.4244, 0.5958, 0.5701)  1 Si 1.62, 2 Be 1.67-1.69
O (0.4291, 0.8156, 0.8745)  2 Si 1.65
O (0.4425, 0.5799, 0.1172)  2 Si 1.63-1.64
O (0.4654, 0.8924, 0.6260)  2 Si 1.64-1.66


(3)
Below is a relaxed structure of BaY2Sb, with properties calculated at the PBE level.

- formation energy without anion corrections (meV per atom) = -145

a = 4.9466 Å, b = 4.9466 Å, c = 22.9715 Å
α = 90.00°, β = 90.00°, γ = 90.00°
Closest atoms and distances in Å follow each position.
Space group I-42d (No. 122)
One atom of each set of equivalent atoms:
Ba (0.0000, 0.0000, 0.0000)  4 Y 3.42, 4 Sb 3.50
Y (0.2181, 0.2500, 0.6250)  2 Y 3.28, 2 Sb 3.31, 2 Ba 3.42
Sb (0.0000, 0.0000, 0.5000)  4 Y 3.31, 4 Ba 3.50


(4)
Below is a relaxed structure of CaTiPt2, with properties calculated at the PBE level.

- formation energy (eV/atom) = -0.4788

a = 7.3747 Å, b = 7.3747 Å, c = 6.0001 Å
α = 90.00°, β = 90.00°, γ = 90.00°
Closest atoms and distances in Å follow each position.
Space group I-42d (No. 122)
One atom of each set of equivalent atoms:
Ca (0.0000, 0.0000, 0.0000)  8 Pt 2.98-3.26, 2 Ti 3.00
Ti (0.0000, 0.0000, 0.5000)  4 Pt 2.48
Pt (0.2001, 0.2500, 0.6250)  2 Ti 2.48